Density functional theory data (PBE) for a geometry-optimized PaPtPb structure.

Cell and atoms, written as POSCAR:
```
PaPtPb
1.0
0.000 3.482 3.482
3.482 0.000 3.482
3.482 3.482 0.000
Pa Pt Pb
1 1 1
Direct
0.000 0.000 0.000 Pa
0.750 0.750 0.750 Pt
0.250 0.250 0.250 Pb
```

## Properties
Total magnetization = 0.31 μB per cell
Electronic total energy = -18.99 eV/cell

=====

Density functional theory data (PBE) for a geometry-optimized Y6Tm2Te structure.

Cell and atoms, written as POSCAR:
```
Y6Tm2Te
1.0
-5.387 6.175 4.189
-2.306 -3.239 -8.300
-1.949 -2.812 1.639
Y Te Tm
6 1 2
Direct
0.274 0.000 0.500 Y
0.385 0.385 0.000 Y
0.726 0.726 0.500 Y
0.000 0.274 0.500 Y
0.000 0.615 0.000 Y
0.615 0.000 0.000 Y
0.000 0.000 0.000 Te
0.333 0.667 0.500 Tm
0.667 0.333 0.500 Tm
```

## Properties
Total magnetization = 0.23 μB per cell
Electronic total energy = -53.61 eV/cell

=====

Density functional theory data (PBE) for a geometry-optimized IrF4 structure.

Cell and atoms, written as POSCAR:
```
IrF4
1.0
-2.912 4.022 -0.414
-3.498 -2.225 2.988
3.871 3.540 7.168
F Ir
16 4
Direct
0.345 0.585 0.021 F
0.845 0.915 0.979 F
0.027 0.649 0.257 F
0.824 0.416 0.000 F
0.155 0.415 0.521 F
0.945 0.199 0.725 F
0.473 0.351 0.757 F
0.655 0.085 0.479 F
0.973 0.149 0.243 F
0.445 0.301 0.275 F
0.055 0.699 0.775 F
0.555 0.801 0.225 F
0.527 0.851 0.743 F
0.676 0.584 0.500 F
0.176 0.916 0.500 F
0.324 0.084 0.000 F
0.833 0.876 0.620 Ir
0.167 0.376 0.880 Ir
0.333 0.624 0.380 Ir
0.667 0.124 0.120 Ir
```

## Properties
Total magnetization = 3.99 μB per cell
Electronic total energy = -90.62 eV/cell

=====

Density functional theory data (PBE) for a geometry-optimized YMgNbFe structure.

Cell and atoms, written as POSCAR:
```
YMgNbFe
1.0
0.000 3.310 3.310
3.310 0.000 3.310
3.310 3.310 0.000
Mg Nb Y Fe
1 1 1 1
Direct
0.750 0.750 0.750 Mg
0.250 0.250 0.250 Nb
0.000 0.000 0.000 Y
0.500 0.500 0.500 Fe
```

## Properties
Total magnetization = 0.00 μB per cell
Electronic total energy = -24.79 eV/cell

=====

Density functional theory data (PBE) for a geometry-optimized Tb2Al5Ag5 structure.

Cell and atoms, written as POSCAR:
```
Tb2Al5Ag5
1.0
4.426 0.000 0.000
0.000 5.430 0.000
0.000 0.000 9.527
Tb Ag Al
2 5 5
Direct
0.000 0.000 0.000 Tb
0.000 0.500 0.500 Tb
0.500 0.500 0.000 Ag
0.000 0.500 0.180 Ag
0.000 0.000 0.665 Ag
0.000 0.500 0.820 Ag
0.000 0.000 0.335 Ag
0.500 0.000 0.500 Al
0.500 0.752 0.245 Al
0.500 0.248 0.755 Al
0.500 0.248 0.245 Al
0.500 0.752 0.755 Al
```

## Properties
Total magnetization = 0.00 μB per cell
Electronic total energy = -46.08 eV/cell

=====

Density functional theory data (PBE) for a geometry-optimized Li2Nb2InGaCo2 structure.

Cell and atoms, written as POSCAR:
```
Li2Nb2InGaCo2
1.0
-2.384 3.414 -0.950
-2.031 -0.378 3.738
4.121 3.603 2.603
Co Ga Li Nb In
2 1 2 2 1
Direct
0.000 0.500 0.761 Co
0.500 0.000 0.239 Co
0.000 0.000 0.000 Ga
0.000 0.500 0.238 Li
0.500 0.000 0.762 Li
0.500 0.500 0.000 Nb
0.000 0.000 0.500 Nb
0.500 0.500 0.500 In
```

## Properties
Total magnetization = 0.00 μB per cell
Electronic total energy = -45.76 eV/cell

=====

Density functional theory data (PBE) for a geometry-optimized NdHo2Mg3Cd2Ag structure.

Cell and atoms, written as POSCAR:
```
NdHo2Mg3Cd2Ag
1.0
-3.853 0.840 1.588
3.155 1.055 7.096
-0.729 6.029 -4.954
Mg Nd Ho Ag Cd
3 1 2 1 2
Direct
0.500 0.999 0.242 Mg
0.500 0.758 0.758 Mg
0.500 0.242 0.999 Mg
0.000 0.409 0.409 Nd
0.000 0.594 0.000 Ho
0.000 0.000 0.594 Ho
0.000 0.995 0.995 Ag
0.500 0.672 0.331 Cd
0.500 0.331 0.672 Cd
```

## Properties
Total magnetization = 0.10 μB per cell
Electronic total energy = -25.46 eV/cell

=====

Density functional theory data (PBE) for a geometry-optimized Y5Co2B6 structure.

Cell and atoms, written as POSCAR:
```
Y5Co2B6
1.0
2.707 1.563 7.766
-2.707 1.563 7.766
0.000 -3.125 7.766
Y B Co
5 6 2
Direct
0.251 0.251 0.251 Y
0.416 0.416 0.416 Y
0.584 0.584 0.584 Y
0.000 0.000 0.000 Y
0.749 0.749 0.749 Y
0.832 0.168 0.500 B
0.832 0.500 0.168 B
0.500 0.832 0.168 B
0.168 0.500 0.832 B
0.168 0.832 0.500 B
0.500 0.168 0.832 B
0.120 0.120 0.120 Co
0.880 0.880 0.880 Co
```

## Properties
Total magnetization = 0.01 μB per cell
Electronic total energy = -93.46 eV/cell

=====

Density functional theory data (PBE) for a geometry-optimized Cs2PdF6 structure.

Cell and atoms, written as POSCAR:
```
Cs2PdF6
1.0
-0.255 3.899 4.541
-5.318 -2.231 1.619
4.727 -3.635 -0.565
F Pd Cs
6 1 2
Direct
0.770 0.770 0.540 F
0.770 0.230 0.000 F
0.230 0.230 0.000 F
0.770 0.770 0.000 F
0.230 0.230 0.460 F
0.230 0.770 0.000 F
0.000 0.000 0.000 Pd
0.250 0.750 0.500 Cs
0.750 0.250 0.500 Cs
```

## Properties
Electronic total energy = -36.55 eV/cell

=====

Density functional theory data (PBE) for a geometry-optimized RbErBiTe3 structure.

Cell and atoms, written as POSCAR:
```
RbErBiTe3
1.0
2.199 -8.702 0.000
2.199 8.702 0.000
0.000 0.000 11.950
Te Er Rb Bi
6 2 2 2
Direct
0.915 0.085 0.750 Te
0.625 0.375 0.976 Te
0.375 0.625 0.024 Te
0.625 0.375 0.524 Te
0.375 0.625 0.476 Te
0.085 0.915 0.250 Te
0.000 0.000 0.000 Er
0.000 0.000 0.500 Er
0.760 0.240 0.250 Rb
0.240 0.760 0.750 Rb
0.454 0.546 0.250 Bi
0.546 0.454 0.750 Bi
```

## Properties
Total magnetization = 0.01 μB per cell
Electronic total energy = -46.88 eV/cell

=====

Density functional theory data (PBE) for a geometry-optimized Tb3Co4Ge13 structure.

Cell and atoms, written as POSCAR:
```
Tb3Co4Ge13
1.0
8.787 0.000 0.000
0.000 8.787 0.000
0.000 0.000 8.787
Ge Tb Co
26 6 8
Direct
0.697 0.847 0.000 Ge
0.153 0.000 0.303 Ge
0.347 0.197 0.500 Ge
0.847 0.000 0.303 Ge
0.000 0.697 0.153 Ge
0.197 0.500 0.653 Ge
0.000 0.303 0.153 Ge
0.347 0.803 0.500 Ge
0.000 0.303 0.847 Ge
0.697 0.153 0.000 Ge
0.500 0.653 0.197 Ge
0.653 0.197 0.500 Ge
0.847 0.000 0.697 Ge
0.500 0.347 0.803 Ge
0.197 0.500 0.347 Ge
0.803 0.500 0.653 Ge
0.653 0.803 0.500 Ge
0.803 0.500 0.347 Ge
0.500 0.500 0.500 Ge
0.000 0.697 0.847 Ge
0.153 0.000 0.697 Ge
0.303 0.153 0.000 Ge
0.000 0.000 0.000 Ge
0.303 0.847 0.000 Ge
0.500 0.653 0.803 Ge
0.500 0.347 0.197 Ge
0.500 0.000 0.750 Tb
0.500 0.000 0.250 Tb
0.000 0.750 0.500 Tb
0.250 0.500 0.000 Tb
0.750 0.500 0.000 Tb
0.000 0.250 0.500 Tb
0.750 0.250 0.250 Co
0.750 0.750 0.250 Co
0.250 0.250 0.250 Co
0.750 0.250 0.750 Co
0.250 0.750 0.750 Co
0.250 0.250 0.750 Co
0.750 0.750 0.750 Co
0.250 0.750 0.250 Co
```

## Properties
Total magnetization = 0.00 μB per cell
Electronic total energy = -221.31 eV/cell

=====

Density functional theory data (PBE) for a geometry-optimized TlSi5Au3 structure.

Cell and atoms, written as POSCAR:
```
TlSi5Au3
1.0
-3.632 -1.398 4.165
0.439 -3.301 -4.626
4.506 -3.338 2.809
Si Au Tl
5 3 1
Direct
0.000 0.000 0.500 Si
0.667 0.333 0.814 Si
0.333 0.667 0.186 Si
0.667 0.333 0.186 Si
0.333 0.667 0.814 Si
0.500 0.500 0.500 Au
0.500 0.000 0.500 Au
0.000 0.500 0.500 Au
0.000 0.000 0.000 Tl
```

## Properties
Electronic total energy = -34.80 eV/cell

=====

no.,mass density (Mg/m³)
1,12.458
2,5.962
3,7.876
4,5.999
5,7.195
6,7.540
7,6.487
8,5.285
9,5.313
10,6.131
11,8.111
12,8.804